1.
A plane-wave DFT calculation with PBE was carried out for PrYBiO2 after structural relaxation.

Lattice parameters (Å, degrees): 3.9786 3.9786 7.4975 105.39 105.39 90.00
Last column: nearest neighbours and their distance in Å.
Fractional positions:
Pr 0.8355 0.8355 0.6710  4 O 2.35
Bi 0.5046 0.5046 0.0092  4 Y 3.63, 4 Pr 3.67, 4 O 3.89, 4 Bi 3.98
Y 0.1693 0.1693 0.3385  4 O 2.25
O 0.7453 0.2453 0.4906  2 Y 2.25, 2 Pr 2.35
O 0.2453 0.7453 0.4906  2 Y 2.25, 2 Pr 2.35

## Properties
magnetic moment	0.0	μB per cell
formation energy without anion corrections	-12.9	eV per formula unit
SG	I4mm, No. 107

2.
A plane-wave DFT calculation with PBE was carried out for RbSrNb2Br after structural relaxation.

Lattice parameters (Å, degrees): 4.9968 6.3433 4.9968 90.00 90.00 90.00
Last column: nearest neighbours and their distance in Å.
Fractional positions:
Sr 0.5000 0.5000 0.5000  4 Br 3.53
Nb 0.5000 0.0000 0.0000  2 Rb 2.50
Nb 0.0000 0.0000 0.5000  2 Rb 2.50
Br 0.0000 0.5000 0.0000  2 Rb 3.17, 4 Sr 3.53
Rb 0.0000 0.0000 0.0000  4 Nb 2.50

## Properties
magnetic moment	2.9	μB per cell
formation energy without anion corrections	8.8	eV per formula unit
SG	P4/mmm, No. 123

3.
A plane-wave DFT calculation with PBE was carried out for BeAlFe2 after structural relaxation.

Lattice parameters (Å, degrees): 2.7555 2.7555 5.5566 90.00 90.00 89.99
Last column: nearest neighbours and their distance in Å.
Fractional positions:
Fe 0.5000 0.5000 0.2362  4 Fe 2.43, 4 Al 2.46, 1 Be 2.52
Fe 0.0000 0.0000 0.9745  4 Be 2.22, 4 Fe 2.43
Al 0.0000 0.0000 0.5059  5 Fe 2.46-2.60, 4 Be 2.48
Be 0.5000 0.5000 0.7833  4 Fe 2.22, 4 Al 2.48

## Properties
magnetic moment	1.2	μB per cell
SG	P4mm, No. 99
energy of formation from the pure elements	-0.135	eV/atom